# 1
A plane-wave DFT calculation with GGA-PBEsol was carried out for an optimized crystal structure of TcNiIr2.

```
TcNiIr2
1.0
2.6762 0.0000 0.0000
0.0000 2.6762 0.0000
0.0000 0.0000 7.3419
Tc Ni Ir
1 1 2
Cartesian
0.0000 0.0000 0.0000 Tc
1.3381 1.3381 5.6125 Ni
0.0000 0.0000 3.8519 Ir
1.3381 1.3381 1.9099 Ir
```

Values from the calculation:
The calculation puts the energy of formation at -0.01 eV/atom. The calculation puts the density of states at the Fermi level at 5.41 states/eV per cell. The energy above the lowest structure with this stoichiometry is 118 meV/atom.



# 2
A plane-wave DFT calculation with GGA-PBEsol was carried out for an optimized crystal structure of NaLi3.

```
NaLi3
1.0
-2.2645 2.2645 4.6835
2.2645 -2.2645 4.6835
2.2645 2.2645 -4.6835
Na Li
1 3
Cartesian
0.0000 0.0000 0.0000 Na
2.2645 0.0000 2.3418 Li
0.0000 0.0000 4.6835 Li
0.0000 2.2645 2.3418 Li
```

Values from the calculation:
The calculation puts the energy of formation at 0.04 eV/atom. The calculation puts the density of states at the Fermi level at 1.81 states/eV per cell. The energy above the lowest structure with this stoichiometry is 4 meV/atom.



Question: Which value of energy above the lowest structure with this stoichiometry does entry 1 give?
Answer: 118 meV/atom



Question: Which of these has the lowest energy of formation?
Answer: TcNiIr2



Question: The lowest energy of formation belongs to which entry?
Answer: TcNiIr2